DFT (GGA-PBE) results for a relaxed structure of KHIrCl.

Properties
The calculation puts the density of states at the Fermi level at 0.952 states/eV/atom. The value obtained for the calculated density is 6.23 Mg/m³. Its calculated total energy is -0.27903 Ry/atom. The calculation puts the relative energy among the computed polymorphs at 155 meV/atom.

Cell: 3.1401 3.1553 7.1984 Å, 90.00 90.00 90.00°
With the nearest neighbours (Å) after each atom.
Sites, in units of the cell vectors:
K (0.0000, 0.0000, 0.0000)  4 H 2.52
H (0.5000, 0.5000, 0.1636)  1 Ir 1.61
Ir (0.5000, 0.5000, 0.3876)  1 H 1.61
Cl (0.5000, 0.5000, 0.7135)  1 Ir 2.35